Computed, not measured: LaMg2Cu at its PBEsol-relaxed geometry at the meta-GGA SCAN level of DFT.

Structure (POSCAR):
```
LaMg2Cu
1.0
3.148 0.000 0.000
0.000 5.756 -0.184
0.000 -2.397 5.236
Cu La Mg
1 1 2
direct
0.500 0.000 0.000
0.500 0.500 0.500
0.000 0.500 0.000
0.000 0.000 0.500
```

Its space group is Cmmm (65). As for the formation energy: 0.30 eV per atom. As for the total magnetic moment: 0.00 μB/cell.



Computed, not measured: TaSi2Mo at its PBEsol-relaxed geometry at the meta-GGA SCAN level of DFT.

Structure (POSCAR):
```
TaSi2Mo
1.0
-3.007 -1.307 -0.327
1.598 -3.410 -1.061
0.096 -1.313 4.365
Mo Si Ta
1 2 1
direct
0.000 0.500 0.500
0.000 0.000 0.000
0.500 0.000 0.500
0.500 0.500 0.000
```

The uncorrected formation energy comes out at -0.1096 eV/atom. Its space group is Pmmm (47). As for the total magnetic moment: 0.00 μB/cell.



Computed, not measured: KIr2Au at its PBEsol-relaxed geometry at the meta-GGA SCAN level of DFT.

Structure (POSCAR):
```
KIr2Au
1.0
-1.725 -0.901 -1.930
-2.156 -1.611 2.678
-4.099 6.518 0.620
Au Ir K
1 2 1
direct
0.500 0.500 0.803
0.000 0.000 0.038
0.500 0.500 0.164
0.000 0.000 0.494
```

Its space group is Pmm2 (25). As for the formation energy: 0.27 eV per atom. As for the total magnetic moment: 0.00 μB/cell.



Computed, not measured: Cr2FeRe at its PBEsol-relaxed geometry at the meta-GGA SCAN level of DFT.

Structure (POSCAR):
```
Cr2FeRe
1.0
2.510 0.001 0.000
-0.807 4.702 0.000
-0.851 -2.351 4.104
Cr Fe Re
2 1 1
direct
0.500 0.500 0.500
0.000 0.000 0.500
0.000 0.500 0.000
0.500 0.000 0.000
```

Its space group is C2/m (12). As for the formation energy: 0.04 eV per atom. As for the total magnetic moment: 2.74 μB/cell.



Computed, not measured: LiReI2N at its PBEsol-relaxed geometry at the meta-GGA SCAN level of DFT.

Structure (POSCAR):
```
LiReI2N
1.0
-3.565 -0.881 0.846
0.535 -4.799 -2.741
1.718 -2.473 4.665
I Re Li N
2 1 1 1
direct
0.000 0.000 0.500
0.000 0.500 0.000
0.000 0.000 0.000
0.500 0.500 0.500
0.500 0.000 0.000
```

The uncorrected formation energy comes out at 0.0540 eV/atom. Its space group is P4/mmm (123). As for the total magnetic moment: 0.66 μB/cell.



Computed, not measured: AsP2Cl at its PBEsol-relaxed geometry at the meta-GGA SCAN level of DFT.

Structure (POSCAR):
```
AsP2Cl
1.0
3.307 0.000 0.000
0.000 3.307 0.000
0.000 0.000 6.583
P As Cl
2 1 1
direct
0.000 0.000 0.817
0.000 0.000 0.183
0.500 0.500 0.000
0.500 0.500 0.500
```

The uncorrected formation energy comes out at 0.4516 eV/atom. Its space group is P4/mmm (123). As for the total magnetic moment: 0.00 μB/cell.



Computed, not measured: In2ReRuW at its PBEsol-relaxed geometry at the meta-GGA SCAN level of DFT.

Structure (POSCAR):
```
In2ReRuW
1.0
4.549 0.000 0.000
0.000 5.096 0.000
0.000 0.000 5.096
Re Ru W In
1 1 1 2
direct
0.500 0.500 0.500
0.500 0.000 0.000
0.000 0.000 0.000
0.000 0.000 0.500
0.000 0.500 0.000
```

Its space group is P4/mmm (123). As for the formation energy: 2.12 eV per atom. As for the total magnetic moment: 3.79 μB/cell.



Computed, not measured: CaZr2P at its PBEsol-relaxed geometry at the meta-GGA SCAN level of DFT.

Structure (POSCAR):
```
CaZr2P
1.0
4.133 0.000 0.000
0.000 4.133 0.000
-2.067 -2.067 4.645
Ca P Zr
1 1 2
direct
0.500 0.500 0.000
0.250 0.750 0.500
0.000 0.000 0.000
0.750 0.250 0.500
```

Its space group is I-4m2 (119). As for the formation energy: -0.07 eV per atom. As for the total magnetic moment: 0.00 μB/cell.



Computed, not measured: Ag2SbMo at its PBEsol-relaxed geometry at the meta-GGA SCAN level of DFT.

Structure (POSCAR):
```
Ag2SbMo
1.0
-0.229 -1.034 3.815
3.663 -1.491 -0.184
1.672 3.963 1.174
Ag Mo Sb
2 1 1
direct
0.000 0.500 0.000
0.500 0.000 0.000
0.500 0.500 0.500
0.000 0.000 0.500
```

The uncorrected formation energy comes out at 0.4101 eV/atom. Its space group is P4/mmm (123). As for the total magnetic moment: 1.28 μB/cell.



Computed, not measured: KLi3Mg at its PBEsol-relaxed geometry at the meta-GGA SCAN level of DFT.

Structure (POSCAR):
```
KLi3Mg
1.0
-5.097 -2.175 0.107
0.294 -0.958 -5.451
2.157 -5.007 0.997
K Mg Li
1 1 3
direct
0.500 0.500 0.500
0.000 0.000 0.000
0.000 0.500 0.000
0.000 0.000 0.500
0.500 0.000 0.000
```

Its space group is Pm-3m (221). As for the formation energy: 0.24 eV per atom. As for the total magnetic moment: 0.00 μB/cell.



Computed, not measured: SrLaSnP2 at its PBEsol-relaxed geometry at the meta-GGA SCAN level of DFT.

Structure (POSCAR):
```
SrLaSnP2
1.0
-2.503 3.553 3.175
-3.574 0.972 -3.905
-3.404 -4.239 2.061
Sr Sn P La
1 1 2 1
direct
0.500 0.500 0.500
0.000 0.000 0.500
0.000 0.500 0.000
0.500 0.000 0.000
0.000 0.000 0.000
```

Its space group is P4/mmm (123). As for the formation energy: -0.03 eV per atom. As for the total magnetic moment: 0.00 μB/cell.



Computed, not measured: CaEu2O3 at its PBEsol-relaxed geometry at the meta-GGA SCAN level of DFT.

Structure (POSCAR):
```
CaEu2O3
1.0
5.888 0.000 0.000
0.000 5.902 0.000
0.000 -2.951 5.120
Ca Eu O
2 4 6
direct
0.250 0.835 0.000
0.750 0.165 0.000
0.750 0.500 0.667
0.250 0.167 0.667
0.250 0.500 0.333
0.750 0.833 0.333
0.000 0.162 0.324
0.500 0.162 0.324
0.000 0.500 0.000
0.500 0.500 0.000
0.500 0.838 0.676
0.000 0.838 0.676
```

The uncorrected formation energy comes out at -3.0077 eV/atom. Its space group is Cmcm (63). As for the total magnetic moment: 28.00 μB/cell.